# Ba5InAg2 PBE optimized geometry
data_Ba5InAg2
_symmetry_space_group_name_H-M 'I 4/m c m'
_symmetry_Int_Tables_number 140
_symmetry_space_group_name_Hall '-I 4 2c'
_cell_length_a 9.137
_cell_length_b 9.137
_cell_length_c 16.441
_cell_angle_alpha 90.00
_cell_angle_beta 90.00
_cell_angle_gamma 90.00
loop_
_atom_site_label
_atom_site_type_symbol
_atom_site_fract_x
_atom_site_fract_y
_atom_site_fract_z
Ba1 Ba 0.000 0.000 0.000
Ba2 Ba 0.172 0.328 0.142
In1 In 0.000 0.000 0.250
Ag1 Ag 0.116 0.384 0.500
# energy of formation: -257 meV/atom
# crystal system: tetragonal
# E: -80.44 eV for the cell shown
# total moment: 0.000 μB per atom


# BaIn2Ag PBE optimized geometry
data_BaIn2Ag
_symmetry_space_group_name_H-M 'P n m a'
_symmetry_Int_Tables_number 62
_cell_length_a 18.144
_cell_length_b 7.970
_cell_length_c 6.554
_cell_angle_alpha 90.00
_cell_angle_beta 90.00
_cell_angle_gamma 90.00
loop_
_symmetry_equiv_pos_as_xyz
'x,y,z'
'-x,-y,-z'
'-x+1/2,-y,z+1/2'
'x+1/2,y,-z+1/2'
'x+1/2,-y+1/2,-z+1/2'
'-x+1/2,y+1/2,z+1/2'
'-x,y+1/2,-z'
'x,-y+1/2,z'
loop_
_atom_site_label
_atom_site_type_symbol
_atom_site_fract_x
_atom_site_fract_y
_atom_site_fract_z
Ba1 Ba 0.104 0.250 0.219
Ba2 Ba 0.141 0.750 0.007
In1 In 0.038 0.057 0.723
In2 In 0.214 0.557 0.511
Ag1 Ag 0.073 0.750 0.502
Ag2 Ag 0.179 0.250 0.734
# energy of formation: -320 meV/atom
# crystal system: orthorhombic
# E: -92.24 eV for the cell shown
# total moment: 0.000 μB per atom


# BaIn2Ag PBE optimized geometry
data_BaIn2Ag
_symmetry_space_group_name_H-M 'C 1 2 1'
_symmetry_Int_Tables_number 5
_cell_length_a 7.724
_cell_length_b 7.733
_cell_length_c 5.433
_cell_angle_alpha 90.00
_cell_angle_beta 134.59
_cell_angle_gamma 90.00
loop_
_symmetry_equiv_pos_as_xyz
'x,y,z'
'-x,y,-z'
'x+1/2,y+1/2,z'
'-x+1/2,y+1/2,-z'
loop_
_atom_site_label
_atom_site_type_symbol
_atom_site_fract_x
_atom_site_fract_y
_atom_site_fract_z
Ba1 Ba 0.000 0.000 0.000
In1 In 0.000 0.253 0.500
In2 In 0.000 0.502 0.000
Ag1 Ag 0.000 0.745 0.500
# energy of formation: -222 meV/atom
# crystal system: monoclinic
# E: -22.28 eV for the cell shown
# total moment: 0.000 μB per atom


# Ba4InAg PBE optimized geometry
data_Ba4InAg
_symmetry_space_group_name_H-M 'F -4 3 m'
_symmetry_Int_Tables_number 216
_symmetry_space_group_name_Hall 'F -4 2 3'
_cell_length_a 10.275
_cell_length_b 10.275
_cell_length_c 10.275
_cell_angle_alpha 90.00
_cell_angle_beta 90.00
_cell_angle_gamma 90.00
loop_
_atom_site_label
_atom_site_type_symbol
_atom_site_fract_x
_atom_site_fract_y
_atom_site_fract_z
Ba1 Ba 0.125 0.125 0.125
In1 In 0.250 0.250 0.750
Ag1 Ag 0.000 0.000 0.500
# energy of formation: 383 meV/atom
# crystal system: cubic
# energy above the lowest structure with this stoichiometry: 0.608 eV/atom
# E: -43.93 eV for the cell shown
# total moment: 0.000 μB per atom


Which formula does entry 3 have?
BaIn2Ag